Ac2Mo2N7 | PBE | relaxed

Output
- Formation energy from raw total energies: -561 meV/atom
- Space group: C2/m (12)

Geometry as POSCAR:
```
Ac2Mo2N7
1.0
-1.466 1.911 5.829
3.628 -1.572 1.021
3.104 5.484 -0.259
Ac Mo N
2 2 7
Direct
0.734 0.500 0.734 Ac
0.266 0.500 0.266 Ac
0.770 0.980 0.230 Mo
0.230 0.020 0.770 Mo
0.918 0.099 0.487 N
0.487 0.901 0.918 N
0.082 0.901 0.513 N
0.513 0.099 0.082 N
0.000 0.000 0.000 N
0.683 0.545 0.317 N
0.317 0.455 0.683 N
```